(1)
A PBEsol-optimized structure of ReRh, computed with SCAN.

Cell: 4.6820 4.3226 5.4920 Å, 90.00 90.00 90.00°
Last column: nearest neighbours and their distance in Å.
Fractional positions:
Re: 0.0765 0.2500 0.1254  4 Re 2.66-2.71, 8 Rh 2.66-2.75
Re: 0.4235 0.7500 0.6254  4 Re 2.66-2.71, 8 Rh 2.66-2.75
Re: 0.5765 0.2500 0.3746  4 Re 2.66-2.71, 8 Rh 2.66-2.75
Re: 0.9235 0.7500 0.8746  4 Re 2.66-2.71, 8 Rh 2.66-2.75
Rh: 0.0795 0.2500 0.6247  8 Re 2.66-2.75, 4 Rh 2.66-2.72
Rh: 0.4205 0.7500 0.1247  8 Re 2.66-2.75, 4 Rh 2.66-2.72
Rh: 0.5795 0.2500 0.8753  8 Re 2.66-2.75, 4 Rh 2.66-2.72
Rh: 0.9205 0.7500 0.3753  8 Re 2.66-2.75, 4 Rh 2.66-2.72

Values from the calculation:
- density (g/cm3) = 17.277
- ΔE_f (eV/atom) = -0.191
- calculated total energy (eV/cell) = -421.00
- size of the total moment (μB per atom) = 0.00

=====

(2)
A PBEsol-optimized structure of MgAlPb2, computed with SCAN.

Cell: 3.6557 3.6557 7.3872 Å, 90.00 90.00 90.00°
Last column: nearest neighbours and their distance in Å.
Fractional positions:
Mg: 0.0000 0.0000 0.0000  8 Pb 3.22
Al: 0.0000 0.0000 0.5000  8 Pb 3.14
Pb: 0.5000 0.5000 0.2589  4 Al 3.14, 4 Mg 3.22
Pb: 0.5000 0.5000 0.7411  4 Al 3.14, 4 Mg 3.22

Values from the calculation:
- density (g/cm3) = 7.833
- ΔE_f (eV/atom) = 0.082
- calculated total energy (eV/cell) = -163.96
- size of the total moment (μB per atom) = 0.00

=====

(3)
A PBEsol-optimized structure of MoIr2Se, computed with SCAN.

Cell: 4.7999 4.7999 4.7999 Å, 132.22 132.22 69.88°
Last column: nearest neighbours and their distance in Å.
Fractional positions:
Mo: 0.0000 0.0000 0.0000  4 Se 2.75, 8 Ir 2.77
Ir: 0.2500 0.7500 0.5000  4 Ir 2.75, 4 Mo 2.77, 4 Se 2.77
Ir: 0.7500 0.2500 0.5000  4 Ir 2.75, 4 Se 2.77, 4 Mo 2.77
Se: 0.5000 0.5000 0.0000  4 Mo 2.75, 8 Ir 2.77

Values from the calculation:
- density (g/cm3) = 15.619
- calculated total energy (eV/cell) = -195.59
- size of the total moment (μB per atom) = 0.00
- raw formation energy (eV/atom) = 0.3925

=====

(4)
A PBEsol-optimized structure of ScCO2, computed with SCAN.

Cell: 6.4708 6.4708 6.4708 Å, 145.19 145.19 50.06°
Last column: nearest neighbours and their distance in Å.
Fractional positions:
Sc: 0.0000 0.0000 0.0000  4 O 2.04
Sc: 0.7500 0.2500 0.5000  4 O 2.04
C: 0.2500 0.7500 0.5000  4 O 1.98
C: 0.5000 0.5000 0.0000  4 O 1.98
O: 0.1410 0.6250 0.0160  2 C 1.98, 2 Sc 2.04
O: 0.3750 0.3910 0.5160  2 C 1.98, 2 Sc 2.04
O: 0.6090 0.1250 0.9840  2 C 1.98, 2 Sc 2.04
O: 0.8750 0.8590 0.4840  2 C 1.98, 2 Sc 2.04

Values from the calculation:
- density (g/cm3) = 3.362
- calculated total energy (eV/cell) = -77.98
- size of the total moment (μB per atom) = 0.00
- raw formation energy (eV/atom) = -0.5475

=====

(5)
A PBEsol-optimized structure of ZnTcAs2Br, computed with SCAN.

Cell: 4.7070 4.7070 5.0306 Å, 90.00 90.00 90.00°
Last column: nearest neighbours and their distance in Å.
Fractional positions:
Zn: 0.0000 0.0000 0.0000  4 As 2.35, 2 Br 2.52
Tc: 0.5000 0.5000 0.5000  4 Br 3.33, 8 As 3.44
As: 0.0000 0.5000 0.0000  2 Zn 2.35
As: 0.5000 0.0000 0.0000  2 Zn 2.35
Br: 0.0000 0.0000 0.5000  2 Zn 2.52

Values from the calculation:
- density (g/cm3) = 5.857
- calculated total energy (eV/cell) = -103.27
- size of the total moment (μB per atom) = 0.71
- raw formation energy (eV/atom) = 1.0291

=====

(6)
A PBEsol-optimized structure of K3HfBi, computed with SCAN.

Cell: 6.6039 6.6039 6.6039 Å, 90.00 90.00 90.00°
Last column: nearest neighbours and their distance in Å.
Fractional positions:
K: 0.0000 0.0000 0.5000  2 Bi 3.30
K: 0.0000 0.5000 0.0000  2 Bi 3.30
K: 0.5000 0.0000 0.0000  2 Bi 3.30
Hf: 0.5000 0.5000 0.5000  12 K 4.67
Bi: 0.0000 0.0000 0.0000  6 K 3.30

Values from the calculation:
- density (g/cm3) = 2.910
- ΔE_f (eV/atom) = 0.908
- calculated total energy (eV/cell) = -161.70
- size of the total moment (μB per atom) = 0.39

=====

(7)
A PBEsol-optimized structure of AlMo2As, computed with SCAN.

Cell: 8.4191 8.4191 8.4191 Å, 20.06 20.06 20.06°
Last column: nearest neighbours and their distance in Å.
Fractional positions:
Al: 0.0000 0.0000 0.0000  6 Mo 2.76, 6 Al 2.93
Mo: 0.2450 0.2450 0.2450  3 As 2.57, 3 Al 2.76
Mo: 0.7550 0.7550 0.7550  3 As 2.57, 3 Al 2.76
As: 0.5000 0.5000 0.5000  6 Mo 2.57

Values from the calculation:
- density (g/cm3) = 7.938
- ΔE_f (eV/atom) = 0.038
- calculated total energy (eV/cell) = -97.56
- size of the total moment (μB per atom) = 0.00

=====

(8)
A PBEsol-optimized structure of FeCuRh, computed with SCAN.

Cell: 4.4760 4.4760 4.4760 Å, 145.53 133.21 59.40°
Last column: nearest neighbours and their distance in Å.
Fractional positions:
Fe: 0.0000 0.0000 0.0000  5 Cu 2.56-2.61, 5 Rh 2.56-2.60, 2 Fe 2.65
Cu: 0.6646 0.6646 0.0000  5 Fe 2.56-2.61, 5 Rh 2.57-2.58, 2 Cu 2.65
Rh: 0.3344 0.3344 0.0000  5 Fe 2.56-2.60, 5 Cu 2.57-2.58, 2 Rh 2.65

Values from the calculation:
- density (g/cm3) = 10.069
- ΔE_f (eV/atom) = -0.075
- calculated total energy (eV/cell) = -67.32
- size of the total moment (μB per atom) = 1.22